! meta-GGA SCAN Ba2SrTl, single point on PBEsol structure; values from VASP
&SYSTEM
  ibrav = 0, nat = 4, ntyp = 3
/
ATOMIC_SPECIES
Ba 137.33 Ba.upf
Sr 87.62 Sr.upf
Tl 204.38 Tl.upf
CELL_PARAMETERS angstrom
-2.112 3.167 6.747
2.112 -3.167 6.747
2.112 3.167 -6.747
ATOMIC_POSITIONS angstrom
Ba 0.000 0.000 0.000
Ba 0.000 3.167 2.656
Sr 2.112 0.000 4.031
Tl 0.000 0.000 6.628
! - Formation enthalpy at 0 K: -0.3067 eV/atom
! - Relative energy among the computed polymorphs: 0.011 eV per atom

***

! meta-GGA SCAN KTa2As2, single point on PBEsol structure; values from VASP
&SYSTEM
  ibrav = 0, nat = 5, ntyp = 3
/
ATOMIC_SPECIES
K 39.10 K.upf
Ta 180.95 Ta.upf
As 74.92 As.upf
CELL_PARAMETERS angstrom
-2.449 2.449 4.560
2.449 -2.449 4.560
2.449 2.449 -4.560
ATOMIC_POSITIONS angstrom
K 0.000 0.000 0.000
Ta 0.000 0.000 3.251
Ta 0.000 0.000 5.870
As 2.449 0.000 2.280
As 0.000 2.449 2.280
! - Formation enthalpy at 0 K: 0.1081 eV/atom

***

Volume values, unit Å³/atom, following the record order: 45.1 21.9.
Magnetic moment values, unit μB per atom, following the record order: 0.00 0.00.